The following is a DFT calculation (PBEsol) of an optimized crystal structure of NaNdO2.

Summary:
**Symmetry**: I4_1/amd, No. 141
**D(E_F)**: 0.0 states/eV/cell
**DFT total energy**: -6.924 eV per atom
**Formation energy (no corrections)**: -256.5 kJ per mole of atoms
**Total magnetization**: 0.000 μB/atom

Cell: 4.719 4.719 6.401 Å, 111.63 111.63 90.00°
Positions (direct):
Na1 0.250 0.750 0.500
Na2 0.000 0.000 0.000
Nd1 0.500 0.500 0.000
Nd2 0.750 0.250 0.500
O1 0.719 0.719 0.437
O2 0.969 0.469 0.937
O3 0.281 0.281 0.563
O4 0.531 0.031 0.063

=====

The following is a DFT calculation (PBEsol) of an optimized crystal structure of NaNd3PtO7.

Summary:
**Symmetry**: Cc, No. 9
**D(E_F)**: 0.0 states/eV/cell
**DFT total energy**: -7.536 eV per atom
**Formation energy (no corrections)**: -239.8 kJ per mole of atoms
**Total magnetization**: 0.000 μB/atom

Cell: 5.647 5.647 11.954 Å, 76.87 76.87 61.69°
Positions (direct):
Na1 0.130 0.571 0.241
Na2 0.571 0.130 0.741
Nd1 0.187 0.677 0.939
Nd2 0.677 0.187 0.439
Nd3 0.799 0.309 0.069
Nd4 0.309 0.799 0.569
Nd5 0.931 0.439 0.757
Nd6 0.439 0.931 0.257
Pt1 0.001 0.495 0.496
Pt2 0.495 0.001 0.996
O1 0.112 0.194 0.400
O2 0.279 0.630 0.405
O3 0.705 0.757 0.404
O4 0.630 0.279 0.905
O5 0.194 0.112 0.900
O6 0.757 0.705 0.904
O7 0.863 0.799 0.593
O8 0.729 0.381 0.598
O9 0.290 0.217 0.597
O10 0.381 0.729 0.098
O11 0.799 0.863 0.093
O12 0.217 0.290 0.097
O13 0.229 0.625 0.752
O14 0.625 0.229 0.252

=====

The following is a DFT calculation (PBEsol) of an optimized crystal structure of NaNdSi6O14.

Summary:
**Symmetry**: Ibam, No. 72
**D(E_F)**: 0.0 states/eV/cell
**DFT total energy**: -8.064 eV per atom
**Formation energy (no corrections)**: -275.7 kJ per mole of atoms
**Total magnetization**: 0.000 μB/atom

Cell: 7.679 13.093 13.093 Å, 72.34 72.95 72.95°
Positions (direct):
Na1 0.250 0.750 0.750
Na2 0.000 0.500 0.500
Na3 0.750 0.250 0.250
Na4 0.500 0.000 0.000
Nd1 0.250 0.980 0.520
Nd2 0.750 0.020 0.480
Nd3 0.750 0.480 0.020
Nd4 0.250 0.520 0.980
Si1 0.300 0.471 0.232
Si2 0.887 0.931 0.773
Si3 0.700 0.529 0.768
Si4 0.613 0.727 0.569
Si5 0.732 0.335 0.665
Si6 0.503 0.029 0.268
Si7 0.908 0.431 0.273
Si8 0.092 0.569 0.727
Si9 0.200 0.268 0.029
Si10 0.408 0.773 0.931
Si11 0.768 0.835 0.165
Si12 0.113 0.069 0.227
Si13 0.680 0.633 0.367
Si14 0.592 0.227 0.069
Si15 0.268 0.665 0.335
Si16 0.497 0.971 0.732
Si17 0.820 0.133 0.867
Si18 0.320 0.367 0.633
Si19 0.003 0.768 0.529
Si20 0.232 0.165 0.835
Si21 0.387 0.273 0.431
Si22 0.800 0.732 0.971
Si23 0.180 0.867 0.133
Si24 0.997 0.232 0.471
O1 0.731 0.811 0.059
O2 0.410 0.799 0.565
O3 0.694 0.642 0.485
O4 0.429 0.508 0.114
O5 0.957 0.307 0.353
O6 0.179 0.485 0.642
O7 0.949 0.114 0.508
O8 0.110 0.463 0.201
O9 0.118 0.193 0.147
O10 0.530 0.365 0.635
O11 0.769 0.441 0.689
O12 0.071 0.386 0.992
O13 0.449 0.008 0.614
O14 0.030 0.135 0.865
O15 0.470 0.635 0.365
O16 0.269 0.189 0.941
O17 0.590 0.201 0.435
O18 0.601 0.941 0.189
O19 0.970 0.865 0.135
O20 0.090 0.935 0.701
O21 0.758 0.730 0.270
O22 0.618 0.647 0.693
O23 0.882 0.807 0.853
O24 0.306 0.358 0.515
O25 0.679 0.142 0.985
O26 0.227 0.565 0.799
O27 0.774 0.799 0.537
O28 0.571 0.492 0.886
O29 0.258 0.770 0.230
O30 0.821 0.515 0.358
O31 0.543 0.147 0.193
O32 0.806 0.015 0.858
O33 0.242 0.270 0.730
O34 0.726 0.963 0.701
O35 0.194 0.985 0.142
O36 0.551 0.992 0.386
O37 0.273 0.701 0.935
O38 0.610 0.701 0.963
O39 0.929 0.614 0.008
O40 0.727 0.299 0.065
O41 0.899 0.311 0.559
O42 0.101 0.689 0.441
O43 0.890 0.537 0.799
O44 0.051 0.886 0.492
O45 0.226 0.201 0.463
O46 0.231 0.559 0.311
O47 0.399 0.059 0.811
O48 0.773 0.435 0.201
O49 0.910 0.065 0.299
O50 0.321 0.858 0.015
O51 0.742 0.230 0.770
O52 0.382 0.353 0.307
O53 0.390 0.299 0.037
O54 0.274 0.037 0.299
O55 0.043 0.693 0.647
O56 0.457 0.853 0.807

=====

The following is a DFT calculation (PBEsol) of an optimized crystal structure of NaNd9Si6O26.

Summary:
**Symmetry**: P3, No. 143
**D(E_F)**: 0.0 states/eV/cell
**DFT total energy**: -8.448 eV per atom
**Formation energy (no corrections)**: -312.3 kJ per mole of atoms
**Total magnetization**: 0.000 μB/atom

Cell: 7.041 9.494 9.494 Å, 120.00 90.00 90.00°
Positions (direct):
Na1 0.510 0.000 0.000
Nd1 0.999 0.667 0.333
Nd2 0.500 0.667 0.333
Nd3 0.008 0.000 0.000
Nd4 0.253 0.090 0.436
Nd5 0.253 0.346 0.910
Nd6 0.253 0.564 0.654
Nd7 0.749 0.580 0.900
Nd8 0.749 0.319 0.420
Nd9 0.749 0.100 0.681
Si1 0.252 0.301 0.264
Si2 0.252 0.963 0.699
Si3 0.252 0.736 0.037
Si4 0.752 0.363 0.066
Si5 0.752 0.703 0.637
Si6 0.752 0.934 0.297
O1 0.425 0.260 0.353
O2 0.425 0.093 0.740
O3 0.425 0.647 0.907
O4 0.939 0.437 0.019
O5 0.939 0.583 0.563
O6 0.939 0.981 0.417
O7 0.565 0.431 0.016
O8 0.565 0.584 0.569
O9 0.565 0.984 0.416
O10 0.060 0.235 0.312
O11 0.060 0.078 0.765
O12 0.060 0.688 0.922
O13 0.249 0.500 0.342
O14 0.249 0.843 0.500
O15 0.249 0.658 0.157
O16 0.758 0.168 0.979
O17 0.758 0.811 0.832
O18 0.758 0.021 0.189
O19 0.218 0.333 0.667
O20 0.744 0.333 0.667
O21 0.257 0.208 0.066
O22 0.257 0.858 0.792
O23 0.257 0.934 0.142
O24 0.748 0.461 0.267
O25 0.748 0.806 0.539
O26 0.748 0.733 0.194

=====

The following is a DFT calculation (PBEsol) of an optimized crystal structure of NaSr2NdTi4O12.

Summary:
**Symmetry**: P-42m, No. 111
**D(E_F)**: 0.0 states/eV/cell
**DFT total energy**: -8.438 eV per atom
**Formation energy (no corrections)**: -300.2 kJ per mole of atoms
**Total magnetization**: 0.000 μB/atom

Cell: 5.438 5.438 7.812 Å, 90.00 90.00 90.00°
Positions (direct):
Na1 0.500 0.500 0.000
Sr1 0.000 0.000 0.500
Sr2 0.500 0.500 0.500
Nd1 0.000 0.000 0.000
Ti1 0.500 0.000 0.753
Ti2 0.000 0.500 0.247
Ti3 0.500 0.000 0.247
Ti4 0.000 0.500 0.753
O1 0.286 0.714 0.249
O2 0.797 0.203 0.759
O3 0.203 0.797 0.759
O4 0.714 0.286 0.249
O5 0.203 0.203 0.241
O6 0.714 0.714 0.751
O7 0.797 0.797 0.241
O8 0.286 0.286 0.751
O9 0.000 0.500 0.000
O10 0.500 0.000 0.500
O11 0.500 0.000 0.000
O12 0.000 0.500 0.500

=====

The following is a DFT calculation (PBEsol) of an optimized crystal structure of NaNdTi2O6.

Summary:
**Symmetry**: Pmn2_1, No. 31
**D(E_F)**: 0.0 states/eV/cell
**DFT total energy**: -8.512 eV per atom
**Formation energy (no corrections)**: -293.4 kJ per mole of atoms
**Total magnetization**: 0.000 μB/atom

Cell: 5.378 5.480 7.648 Å, 90.00 90.00 90.00°
Positions (direct):
Na1 0.501 0.226 0.500
Na2 0.001 0.774 0.000
Nd1 0.988 0.699 0.500
Nd2 0.488 0.301 0.000
Ti1 0.489 0.761 0.752
Ti2 0.989 0.239 0.252
Ti3 0.489 0.761 0.248
Ti4 0.989 0.239 0.748
O1 0.723 0.466 0.716
O2 0.796 0.957 0.290
O3 0.296 0.043 0.210
O4 0.223 0.534 0.784
O5 0.296 0.043 0.790
O6 0.223 0.534 0.216
O7 0.723 0.466 0.284
O8 0.796 0.957 0.710
O9 0.426 0.765 0.500
O10 0.068 0.264 0.500
O11 0.568 0.736 0.000
O12 0.926 0.235 0.000

=====

The following is a DFT calculation (PBEsol) of an optimized crystal structure of NaNdTiO4.

Summary:
**Symmetry**: P4/nmm, No. 129
**D(E_F)**: 0.0 states/eV/cell
**DFT total energy**: -8.102 eV per atom
**Formation energy (no corrections)**: -287.1 kJ per mole of atoms
**Total magnetization**: 0.000 μB/atom

Cell: 3.713 3.713 12.966 Å, 90.00 90.00 90.00°
Positions (direct):
Na1 0.500 0.000 0.583
Na2 0.000 0.500 0.417
Nd1 0.000 0.500 0.108
Nd2 0.500 0.000 0.892
Ti1 0.500 0.000 0.271
Ti2 0.000 0.500 0.729
O1 0.000 0.500 0.930
O2 0.500 0.000 0.070
O3 0.000 0.500 0.594
O4 0.500 0.000 0.406
O5 0.000 0.000 0.233
O6 0.500 0.500 0.233
O7 0.000 0.000 0.767
O8 0.500 0.500 0.767

=====

The following is a DFT calculation (PBEsol) of an optimized crystal structure of NaNdW2O8.

Summary:
**Symmetry**: I-4, No. 82
**D(E_F)**: 0.0 states/eV/cell
**DFT total energy**: -8.830 eV per atom
**Formation energy (no corrections)**: -239.5 kJ per mole of atoms
**Total magnetization**: 0.000 μB/atom

Cell: 5.286 5.286 6.798 Å, 112.88 112.88 90.00°
Positions (direct):
Na1 0.000 0.000 0.000
Nd1 0.750 0.250 0.500
W1 0.250 0.750 0.500
W2 0.500 0.500 0.000
O1 0.005 0.905 0.331
O2 0.325 0.426 0.331
O3 0.173 0.261 0.822
O4 0.649 0.561 0.822
O5 0.739 0.351 0.178
O6 0.439 0.827 0.178
O7 0.574 0.995 0.669
O8 0.095 0.675 0.669

=====

The following is a DFT calculation (PBEsol) of an optimized crystal structure of NaNdS2.

Summary:
**Symmetry**: I4_1/amd, No. 141
**D(E_F)**: 0.0 states/eV/cell
**DFT total energy**: -5.626 eV per atom
**Formation energy (no corrections)**: -173.0 kJ per mole of atoms
**Total magnetization**: 0.000 μB/atom

Cell: 5.649 5.649 7.120 Å, 113.37 113.37 90.00°
Positions (direct):
Na1 0.750 0.250 0.500
Na2 0.500 0.500 0.000
S1 0.012 0.512 0.025
S2 0.238 0.238 0.475
S3 0.488 0.988 0.975
S4 0.762 0.762 0.525
Nd1 0.000 0.000 0.000
Nd2 0.250 0.750 0.500

=====

The following is a DFT calculation (PBEsol) of an optimized crystal structure of NaNdS2.

Summary:
**Symmetry**: P4/mmm, No. 123
**D(E_F)**: 0.3 states/eV/cell
**DFT total energy**: -5.545 eV per atom
**Formation energy (no corrections)**: -165.1 kJ per mole of atoms
**Total magnetization**: 0.000 μB/atom

Cell: 4.065 4.065 5.548 Å, 90.00 90.00 90.00°
Positions (direct):
Na1 0.000 0.000 0.000
S1 0.000 0.000 0.500
S2 0.500 0.500 0.000
Nd1 0.500 0.500 0.500

=====

The following is a DFT calculation (PBEsol) of an optimized crystal structure of NaNdS2.

Summary:
**Symmetry**: R-3m, No. 166
**D(E_F)**: 0.0 states/eV/cell
**DFT total energy**: -5.637 eV per atom
**Formation energy (no corrections)**: -174.0 kJ per mole of atoms
**Total magnetization**: 0.000 μB/atom

Cell: 4.081 4.081 6.999 Å, 73.05 73.05 60.00°
Positions (direct):
Na1 0.500 0.500 0.500
S1 0.745 0.745 0.765
S2 0.255 0.255 0.235
Nd1 0.000 0.000 0.000

=====

The following is a DFT calculation (PBEsol) of an optimized crystal structure of NaNdTl2.

Summary:
**Energy relative to the elements**: -308 meV per atom
**Symmetry**: Fm-3m, No. 225
**D(E_F)**: 1.2 states/eV/cell
**DFT total energy**: -3.264 eV per atom
**Total magnetization**: 0.000 μB/atom

Cell: 5.320 5.320 5.320 Å, 60.00 60.00 60.00°
Positions (direct):
Na1 0.500 0.500 0.500
Tl1 0.250 0.250 0.250
Tl2 0.750 0.750 0.750
Nd1 0.000 0.000 0.000